Entry 1:
A plane-wave DFT calculation with PBE was carried out for RbBaAs2 after structural relaxation.

Cell: 8.091 8.091 8.091 Å, 90.00 90.00 90.00°
Space group Fm-3m (No. 225)
One atom of each set of equivalent atoms:
Rb 0.000 0.000 0.000 [4 per cell]
Ba 0.000 0.000 0.500 [4 per cell]
As 0.250 0.250 0.250 [8 per cell]

E above lowest polymorph	0.000	eV per atom
E_form	-0.299	eV per atom

---

Entry 2:
A plane-wave DFT calculation with PBE was carried out for RbBa2As after structural relaxation.

Cell: 4.7648 4.7648 38.7604 Å, 90.00 90.00 120.00°
Space group R-3m (No. 166, hexagonal axes)
One atom of each set of equivalent atoms:
Rb 0.0000 0.0000 0.0000 [3 per cell]
Ba 0.0000 0.0000 0.1214 [6 per cell]
As 0.0000 0.0000 0.5000 [3 per cell]

E above lowest polymorph	0.028	eV per atom
E_form	-0.622	eV per atom

---

Entry 3:
A plane-wave DFT calculation with PBE was carried out for RbBa2As2 after structural relaxation.

Cell: 9.642 9.642 3.949 Å, 90.00 90.00 90.00°
Space group P4/mbm (No. 127)
One atom of each set of equivalent atoms:
Rb 0.000 0.000 0.000 [2 per cell]
Ba 0.134 0.366 0.500 [4 per cell]
As 0.163 0.663 0.000 [4 per cell]

E above lowest polymorph	0.000	eV per atom
E_form	-0.768	eV per atom

---

Entry 4:
A plane-wave DFT calculation with PBE was carried out for RbBaAs3 after structural relaxation.

Cell: 6.021 6.021 6.021 Å, 90.00 90.00 90.00°
Space group Pm-3m (No. 221)
One atom of each set of equivalent atoms:
Rb 0.000 0.000 0.000 [1 per cell]
Ba 0.500 0.500 0.500 [1 per cell]
As 0.000 0.500 0.500 [3 per cell]

E above lowest polymorph	0.000	eV per atom
E_form	0.467	eV per atom

---

Entry 5:
A plane-wave DFT calculation with PBE was carried out for RbBaAs3 after structural relaxation.

Cell: 5.652 5.652 5.652 Å, 90.00 90.00 90.00°
Space group Pm-3m (No. 221)
One atom of each set of equivalent atoms:
Rb 0.000 0.000 0.000 [1 per cell]
Ba 0.500 0.500 0.500 [1 per cell]
As 0.000 0.000 0.500 [3 per cell]

E above lowest polymorph	0.177	eV per atom
E_form	0.643	eV per atom

---

Entry 6:
A plane-wave DFT calculation with PBE was carried out for RbBa2As after structural relaxation.

Cell: 4.191 4.191 11.936 Å, 90.00 90.00 90.00°
Space group P4/mmm (No. 123)
One atom of each set of equivalent atoms:
Rb 0.000 0.000 0.000 [1 per cell]
Ba 0.500 0.500 0.356 [2 per cell]
As 0.000 0.000 0.500 [1 per cell]

E above lowest polymorph	0.102	eV per atom
E_form	-0.548	eV per atom

---

Entry 7:
A plane-wave DFT calculation with PBE was carried out for RbBa2As after structural relaxation.

Cell: 8.318 4.802 12.199 Å, 90.00 90.05 90.00°
Space group C2/m (No. 12)
One atom of each set of equivalent atoms:
Rb 0.000 0.000 0.000 [2 per cell]
Ba 0.167 0.500 0.643 [4 per cell]
As 0.000 0.000 0.500 [2 per cell]

E above lowest polymorph	0.000	eV per atom
E_form	-0.650	eV per atom

---

Entry 8:
A plane-wave DFT calculation with PBE was carried out for Rb2BaAs2 after structural relaxation.

Cell: 4.941 4.941 14.859 Å, 90.00 90.00 90.00°
Space group I4/mmm (No. 139)
One atom of each set of equivalent atoms:
Rb 0.000 0.500 0.250 [4 per cell]
Ba 0.000 0.000 0.000 [2 per cell]
As 0.000 0.000 0.416 [4 per cell]

E above lowest polymorph	0.018	eV per atom
E_form	-0.442	eV per atom